DFT (PBE with a Hubbard U) results for K2AlFeB2P4H2O18 after structural relaxation.

abc: 5.1549 8.2532 8.3342
angles: 86.14 80.70 86.45
With the nearest neighbours (Å) after each atom.
Fractional positions:
K1 0.0000 0.0000 0.0000  9 O 2.80-3.01
K2 0.4505 0.6553 0.2343  9 O 2.83-3.16
Al1 0.4537 0.1330 0.3143  6 O 1.88-1.99
Fe1 0.9924 0.5187 0.9301  6 O 1.96-2.11
B1 0.5973 0.0596 0.6741  4 O 1.46-1.50
B2 0.8540 0.5996 0.5624  4 O 1.46-1.49
P1 0.5027 0.2618 0.9370  4 O 1.53-1.58
P2 0.5242 0.7456 0.8180  4 O 1.52-1.58
P3 0.9246 0.9185 0.4210  4 O 1.52-1.57
P4 0.9374 0.3834 0.3121  4 O 1.52-1.58
H1 0.2197 0.5637 0.6337  1 O 0.98
H2 0.2981 0.2123 0.6014  1 O 0.98
O1 0.0376 0.5365 0.6740  1 H 0.98
O2 0.1803 0.9822 0.3275  1 P 1.52
O3 0.2100 0.3148 0.3441  1 P 1.54
O4 0.2261 0.3167 0.8996  1 P 1.54
O5 0.2751 0.6790 0.9174  1 P 1.52
O6 0.4351 0.1346 0.5546  1 H 0.98
O7 0.4469 0.9270 0.7716  1 B 1.50, 1 P 1.56
O8 0.4790 0.1350 0.0834  1 P 1.55
O9 0.5964 0.6547 0.6548  1 B 1.49, 1 P 1.58
O10 0.6611 0.1755 0.7853  1 B 1.46, 1 P 1.58
O11 0.6625 0.4053 0.9610  1 P 1.53
O12 0.6932 0.9407 0.3241  1 P 1.54
O13 0.7533 0.7330 0.9154  1 P 1.53
O14 0.7570 0.2542 0.2818  1 P 1.52
O15 0.7877 0.4731 0.4641  1 B 1.46, 1 P 1.58
O16 0.8513 0.9967 0.5888  1 B 1.47, 1 P 1.56
O17 0.9745 0.5163 0.1704  1 P 1.55
O18 0.9876 0.7317 0.4546  1 B 1.49, 1 P 1.57

Uncorrected energy ... -6.97 eV per atom